No. 1
Density functional theory data (PBE-GGA) for a relaxed PaSbPdSe crystal.

a b c (Å): 4.4494 4.4494 8.8129
angles (deg): 90.00 90.00 90.00
With the nearest neighbours (Å) after each atom.
Atoms (fractional coordinates):
Pa 0.2500 0.2500 0.2186  4 Se 2.94, 4 Sb 3.27
Pa 0.7500 0.7500 0.7814  4 Se 2.94, 4 Sb 3.27
Sb 0.2500 0.2500 0.6803  4 Pd 2.73
Sb 0.7500 0.7500 0.3197  4 Pd 2.73
Pd 0.2500 0.7500 0.5000  4 Sb 2.73
Pd 0.7500 0.2500 0.5000  4 Sb 2.73
Se 0.2500 0.7500 0.0000  4 Pa 2.94, 4 Se 3.15
Se 0.7500 0.2500 0.0000  4 Pa 2.94, 4 Se 3.15

Computed properties:
VASP energy: -6.46 eV/atom
formation energy (no corrections): -3.6 eV per formula unit
density: 10.2 Mg/m³
symmetry: P4/nmm

=====

No. 2
Density functional theory data (PBE-GGA) for a relaxed Sc6InFe2 crystal.

a b c (Å): 7.8271 7.8271 7.8271
angles (deg): 111.57 110.74 106.15
With the nearest neighbours (Å) after each atom.
Atoms (fractional coordinates):
Sc 0.0119 0.2334 0.7785  2 Fe 2.60-2.86
Sc 0.1938 0.2885 0.4822  3 Fe 2.75-3.02, 1 In 3.07
Sc 0.1938 0.7115 0.9053  3 Fe 2.75-3.02, 1 In 3.07
Sc 0.3121 0.0164 0.7044  3 Fe 2.59-2.75
Sc 0.3121 0.6077 0.2956  3 Fe 2.59-2.75
Sc 0.4549 0.2334 0.2215  2 Fe 2.60-2.86
Sc 0.5451 0.7666 0.7785  2 Fe 2.60-2.86
Sc 0.6879 0.3923 0.7044  3 Fe 2.59-2.75
Sc 0.6879 0.9836 0.2956  3 Fe 2.59-2.75
Sc 0.8062 0.2885 0.0947  3 Fe 2.75-3.02, 1 In 3.07
Sc 0.8062 0.7115 0.5178  3 Fe 2.75-3.02, 1 In 3.07
Sc 0.9881 0.7666 0.2215  2 Fe 2.60-2.86
In 0.0000 0.0000 0.0000  8 Sc 2.95-3.07
In 0.5000 0.5000 0.0000  12 Sc 3.15-3.30
Fe 0.1136 0.6136 0.5000  1 Fe 2.14
Fe 0.3776 0.0000 0.3776  1 Fe 2.18
Fe 0.6224 0.0000 0.6224  1 Fe 2.18
Fe 0.8864 0.3864 0.5000  1 Fe 2.14

Computed properties:
ΔE_f: -0.225 eV per atom
VASP energy: -6.63 eV/atom
density: 4.5 Mg/m³
symmetry: Immm

=====

No. 3
Density functional theory data (PBE-GGA) for a relaxed Sr4YZn5 crystal.

a b c (Å): 3.8161 3.8161 19.3151
angles (deg): 90.00 90.00 90.00
With the nearest neighbours (Å) after each atom.
Atoms (fractional coordinates):
Sr 0.0000 0.0000 0.1037  8 Zn 3.34-3.36
Sr 0.0000 0.0000 0.3103  8 Zn 3.37-3.44, 1 Y 3.66
Sr 0.0000 0.0000 0.6897  8 Zn 3.37-3.44, 1 Y 3.66
Sr 0.0000 0.0000 0.8963  8 Zn 3.34-3.36
Y 0.0000 0.0000 0.5000  8 Zn 3.10
Zn 0.5000 0.5000 0.0000  8 Sr 3.36
Zn 0.5000 0.5000 0.2059  8 Sr 3.34-3.37
Zn 0.5000 0.5000 0.4206  1 Zn 3.07, 4 Y 3.10
Zn 0.5000 0.5000 0.5794  1 Zn 3.07, 4 Y 3.10
Zn 0.5000 0.5000 0.7941  8 Sr 3.34-3.37

Computed properties:
ΔE_f: -0.208 eV per atom
VASP energy: -2.16 eV/atom
density: 4.5 Mg/m³
symmetry: P4/mmm

=====

No. 4
Density functional theory data (PBE-GGA) for a relaxed Mn3NiTe crystal.

a b c (Å): 4.8409 4.8409 4.8409
angles (deg): 90.00 90.00 90.00
With the nearest neighbours (Å) after each atom.
Atoms (fractional coordinates):
Mn 0.0000 0.0000 0.5000  2 Te 2.42
Mn 0.0000 0.5000 0.0000  2 Te 2.42
Mn 0.5000 0.0000 0.0000  2 Te 2.42
Ni 0.5000 0.5000 0.5000  12 Mn 3.42
Te 0.0000 0.0000 0.0000  6 Mn 2.42

Computed properties:
VASP energy: -5.97 eV/atom
formation energy (no corrections): 6.6 eV per formula unit
polymorph energy (0 for the lowest one): 806 meV per atom
density: 5.1 Mg/m³
symmetry: Pm-3m

=====

No. 5
Density functional theory data (PBE-GGA) for a relaxed Zr2CrSb crystal.

a b c (Å): 8.8862 8.8862 8.8862
angles (deg): 21.51 21.51 21.51
With the nearest neighbours (Å) after each atom.
Atoms (fractional coordinates):
Zr 0.2393 0.2393 0.2393  3 Cr 2.69
Zr 0.7607 0.7607 0.7607  3 Cr 2.69
Cr 0.5000 0.5000 0.5000  6 Zr 2.69
Sb 0.0000 0.0000 0.0000  6 Zr 3.11, 6 Sb 3.32

Computed properties:
VASP energy: -7.64 eV/atom
formation energy (no corrections): 0.3 eV per formula unit
density: 7.2 Mg/m³
symmetry: R-3m

=====

No. 6
Density functional theory data (PBE-GGA) for a relaxed AcLaNdAg crystal.

a b c (Å): 3.8406 3.8406 9.0311
angles (deg): 90.00 90.00 90.00
With the nearest neighbours (Å) after each atom.
Atoms (fractional coordinates):
Ac 0.0000 0.0000 0.0000  4 Nd 3.78, 4 La 3.83, 4 Ac 3.84
La 0.5000 0.5000 0.7015  4 Ag 3.33, 1 Nd 3.71
Nd 0.5000 0.5000 0.2909  4 Ag 3.25
Ag 0.0000 0.0000 0.4889  4 Nd 3.25, 4 La 3.33

Computed properties:
ΔE_f: -0.109 eV per atom
VASP energy: -4.27 eV/atom
polymorph energy (0 for the lowest one): 0 meV per atom
density: 7.7 Mg/m³
symmetry: P4mm

=====

No. 7
Density functional theory data (PBE-GGA) for a relaxed GeTePb2 crystal.

a b c (Å): 8.4243 8.4243 8.4243
angles (deg): 131.36 131.36 71.24
With the nearest neighbours (Å) after each atom.
Atoms (fractional coordinates):
Ge 0.0000 0.0000 0.0000  4 Pb 2.86
Ge 0.7500 0.2500 0.5000  4 Pb 2.86
Te 0.2500 0.7500 0.5000  4 Pb 3.13
Te 0.5000 0.5000 0.0000  4 Pb 3.13
Pb 0.0909 0.6250 0.9659  2 Ge 2.86, 2 Te 3.13
Pb 0.3750 0.3409 0.4659  2 Ge 2.86, 2 Te 3.13
Pb 0.6591 0.1250 0.0341  2 Ge 2.86, 2 Te 3.13
Pb 0.8750 0.9091 0.5341  2 Ge 2.86, 2 Te 3.13

Computed properties:
VASP energy: -3.62 eV/atom
formation energy (no corrections): 0.7 eV per formula unit
polymorph energy (0 for the lowest one): 19 meV per atom
density: 6.2 Mg/m³
symmetry: I-42d

=====

No. 8
Density functional theory data (PBE-GGA) for a relaxed LiAc2Zn4Ag3 crystal.

a b c (Å): 4.3638 4.3638 11.8438
angles (deg): 90.00 90.00 90.00
With the nearest neighbours (Å) after each atom.
Atoms (fractional coordinates):
Li 0.0000 0.0000 0.0000  4 Zn 2.71
Ac 0.0000 0.5000 0.7462  6 Ag 3.36-3.71, 8 Zn 3.39-3.64, 2 Li 3.71
Ac 0.5000 0.0000 0.2538  6 Ag 3.36-3.71, 8 Zn 3.39-3.64, 2 Li 3.71
Zn 0.0000 0.0000 0.5000  4 Ag 2.70
Zn 0.0000 0.5000 0.1354  2 Li 2.71, 3 Ag 2.71-2.73
Zn 0.5000 0.0000 0.8646  2 Li 2.71, 3 Ag 2.71-2.73
Zn 0.5000 0.5000 0.5000  4 Ag 2.70
Ag 0.0000 0.5000 0.3657  5 Zn 2.70-2.73
Ag 0.5000 0.0000 0.6343  5 Zn 2.70-2.73
Ag 0.5000 0.5000 0.0000  4 Zn 2.71

Computed properties:
ΔE_f: -0.233 eV per atom
VASP energy: -2.61 eV/atom
density: 7.7 Mg/m³
symmetry: P-4m2

=====

No. 9
Density functional theory data (PBE-GGA) for a relaxed Al2In2I crystal.

a b c (Å): 9.1550 9.1550 9.1550
angles (deg): 155.01 155.01 35.63
With the nearest neighbours (Å) after each atom.
Atoms (fractional coordinates):
Al 0.2500 0.7500 0.5000  4 Al 2.80, 4 In 3.03
Al 0.7500 0.2500 0.5000  4 Al 2.80, 4 In 3.03
In 0.1183 0.1183 0.0000  4 Al 3.03
In 0.8817 0.8817 0.0000  4 Al 3.03
I 0.5000 0.5000 0.0000  8 In 3.48

Computed properties:
VASP energy: -2.78 eV/atom
formation energy (no corrections): 0.6 eV per formula unit
polymorph energy (0 for the lowest one): 0 meV per atom
density: 5.0 Mg/m³
symmetry: I4/mmm

=====

No. 10
Density functional theory data (PBE-GGA) for a relaxed Re2SiAg crystal.

a b c (Å): 2.8399 4.0328 5.4229
angles (deg): 90.00 102.79 90.00
With the nearest neighbours (Å) after each atom.
Atoms (fractional coordinates):
Re 0.1292 0.0000 0.2776  2 Si 2.46, 1 Re 2.67
Re 0.8708 0.0000 0.7224  2 Si 2.46, 1 Re 2.67
Si 0.5000 0.5000 0.5000  4 Re 2.46, 2 Ag 2.71
Ag 0.5000 0.5000 0.0000  2 Si 2.71, 2 Ag 2.84, 8 Re 2.85-2.89

Computed properties:
VASP energy: -7.85 eV/atom
formation energy (no corrections): 1.8 eV per formula unit
density: 13.9 Mg/m³
symmetry: P2/m

=====

No. 11
Density functional theory data (PBE-GGA) for a relaxed ErTm4Cu crystal.

a b c (Å): 3.4444 3.4444 13.5950
angles (deg): 90.00 90.00 90.00
With the nearest neighbours (Å) after each atom.
Atoms (fractional coordinates):
Er 0.0000 0.0000 0.0000  4 Er 3.44, 8 Tm 3.49
Tm 0.0000 0.0000 0.3756  4 Cu 2.97
Tm 0.0000 0.0000 0.6244  4 Cu 2.97
Tm 0.5000 0.5000 0.1835  8 Tm 3.44-3.57, 4 Er 3.49
Tm 0.5000 0.5000 0.8165  8 Tm 3.44-3.57, 4 Er 3.49
Cu 0.5000 0.5000 0.5000  8 Tm 2.97

Computed properties:
ΔE_f: -0.064 eV per atom
VASP energy: -4.49 eV/atom
density: 9.3 Mg/m³
symmetry: P4/mmm

=====

No. 12
Density functional theory data (PBE-GGA) for a relaxed PmY3Ni2 crystal.

a b c (Å): 8.3612 8.3612 11.5545
angles (deg): 122.53 122.53 27.05
With the nearest neighbours (Å) after each atom.
Atoms (fractional coordinates):
Pm 0.1530 0.1530 0.2463  3 Ni 2.83-2.98
Pm 0.8470 0.8470 0.7537  3 Ni 2.83-2.98
Y 0.1544 0.1544 0.7469  4 Ni 2.83-3.17
Y 0.4170 0.4170 0.0614  3 Ni 2.81-2.92
Y 0.4189 0.4189 0.5573  3 Ni 2.83-2.99
Y 0.5811 0.5811 0.4427  3 Ni 2.83-2.99
Y 0.5830 0.5830 0.9386  3 Ni 2.81-2.92
Y 0.8456 0.8456 0.2531  4 Ni 2.83-3.17
Ni 0.2320 0.2320 0.0472  2 Ni 2.46
Ni 0.2321 0.2321 0.5489  2 Ni 2.48
Ni 0.7679 0.7679 0.4511  2 Ni 2.48
Ni 0.7680 0.7680 0.9528  2 Ni 2.46

Computed properties:
ΔE_f: -0.266 eV per atom
VASP energy: -6.22 eV/atom
density: 5.7 Mg/m³
symmetry: C2/m

=====

Question: What is the formula in the second record?
Answer: Sc6InFe2

=====

Question: density of number 6 (AcLaNdAg)?
Answer: 7.7 Mg/m³

=====

Copy entry 4 word for word.
Density functional theory data (PBE-GGA) for a relaxed Mn3NiTe crystal.

a b c (Å): 4.8409 4.8409 4.8409
angles (deg): 90.00 90.00 90.00
With the nearest neighbours (Å) after each atom.
Atoms (fractional coordinates):
Mn 0.0000 0.0000 0.5000  2 Te 2.42
Mn 0.0000 0.5000 0.0000  2 Te 2.42
Mn 0.5000 0.0000 0.0000  2 Te 2.42
Ni 0.5000 0.5000 0.5000  12 Mn 3.42
Te 0.0000 0.0000 0.0000  6 Mn 2.42

Computed properties:
VASP energy: -5.97 eV/atom
formation energy (no corrections): 6.6 eV per formula unit
polymorph energy (0 for the lowest one): 806 meV per atom
density: 5.1 Mg/m³
symmetry: Pm-3m